! Mg2CdN (SCAN, single point on PBEsol structure); values from VASP
&SYSTEM
  ibrav = 0, nat = 8, ntyp = 3
/
ATOMIC_SPECIES
Mg 24.30 Mg.upf
Cd 112.41 Cd.upf
N 14.01 N.upf
CELL_PARAMETERS angstrom
-3.1117 3.1117 4.1371
3.1117 -3.1117 4.1371
3.1117 3.1117 -4.1371
ATOMIC_POSITIONS crystal
Mg 0.3750 0.0238 0.1488
Mg 0.7738 0.6250 0.6488
Mg 0.8750 0.2262 0.8512
Mg 0.9762 0.1250 0.3512
Cd 0.2500 0.7500 0.5000
Cd 0.5000 0.5000 0.0000
N 0.0000 0.0000 0.0000
N 0.7500 0.2500 0.5000
! Energy relative to the lowest polymorph listed for this composition, eV per atom: 0.0000
! Final energy, eV/atom: -12.69
! SG: I-42d, No. 122
! Calculated density, g/cm3: 3.63
! Formation energy (no corrections), eV/atom: -0.2750